The following is a DFT calculation (GGA-PBE) of an optimized crystal structure of Nd3CuSiSe7.

Summary:
formation energy from raw total energies	-1.364	eV/atom

Unit cell a=10.646 b=10.646 c=6.089 alpha=90.00 beta=90.00 gamma=120.00
Atoms (fractional coordinates):
Nd 0.772 0.127 0.248
Nd 0.355 0.228 0.248
Nd 0.873 0.645 0.248
Nd 0.127 0.355 0.748
Nd 0.228 0.873 0.748
Nd 0.645 0.772 0.748
Cu 0.000 0.000 0.720
Cu 0.000 0.000 0.220
Si 0.667 0.333 0.836
Si 0.333 0.667 0.336
Se 0.667 0.333 0.463
Se 0.836 0.091 0.732
Se 0.909 0.744 0.732
Se 0.584 0.478 0.986
Se 0.478 0.894 0.486
Se 0.522 0.106 0.986
Se 0.333 0.667 0.963
Se 0.744 0.836 0.232
Se 0.256 0.164 0.732
Se 0.106 0.584 0.486
Se 0.164 0.909 0.232
Se 0.416 0.522 0.486
Se 0.894 0.416 0.986
Se 0.091 0.256 0.232

=====

The following is a DFT calculation (GGA-PBE) of an optimized crystal structure of PuNpGaRh.

Summary:
ΔH_f (0 K)	-0.310	eV/atom

Unit cell a=4.759 b=4.759 c=4.759 alpha=60.00 beta=60.00 gamma=60.00
Atoms (fractional coordinates):
Np 0.750 0.750 0.750
Rh 0.000 0.000 0.000
Ga 0.250 0.250 0.250
Pu 0.500 0.500 0.500

=====

The following is a DFT calculation (GGA-PBE) of an optimized crystal structure of NaIn3Si.

Summary:
relative energy among the computed polymorphs	594	meV per atom
formation energy from raw total energies	0.881	eV/atom

Unit cell a=5.406 b=5.406 c=5.406 alpha=90.00 beta=90.00 gamma=90.00
Atoms (fractional coordinates):
Na 0.000 0.000 0.000
Si 0.500 0.500 0.500
In 0.000 0.500 0.000
In 0.000 0.000 0.500
In 0.500 0.000 0.000

=====

Total magnetization: 0.0 9.0 0.0 (μB/f.u.)